No. 1
Computed, not measured: an optimized crystal structure of AlMo2W at the PBE level of DFT.

Summary:
* space-group type: P4_2/mmc, No. 131

Cell lengths 4.966, 4.966, 5.023 Å; angles 90.00, 90.00, 90.00 degrees
Fractional coordinates of all 8 atoms:
Al (0.500, 0.000, 0.000)
Mo (0.000, 0.750, 0.000)
Mo (0.000, 0.250, 0.000)
Mo (0.750, 0.000, 0.500)
W (0.500, 0.500, 0.250)
Al (0.000, 0.500, 0.500)
Mo (0.250, 0.000, 0.500)
W (0.500, 0.500, 0.750)



No. 2
Computed, not measured: an optimized crystal structure of TmHgIr at the PBE level of DFT.

Summary:
* space-group type: F-43m, No. 216
* energy relative to the elements: 0.0106 eV per atom

Cell lengths 4.676, 4.676, 4.676 Å; angles 60.00, 60.00, 60.00 degrees
Fractional coordinates of all 3 atoms:
Tm (0.000, 0.000, 0.000)
Ir (0.750, 0.750, 0.750)
Hg (0.250, 0.250, 0.250)



No. 3
Computed, not measured: an optimized crystal structure of AcBeNb at the PBE level of DFT.

Summary:
* space-group type: F-43m, No. 216

Cell lengths 4.817, 4.817, 4.817 Å; angles 60.00, 60.00, 60.00 degrees
Fractional coordinates of all 3 atoms:
Be (0.250, 0.250, 0.250)
Ac (0.000, 0.000, 0.000)
Nb (0.750, 0.750, 0.750)



No. 4
Computed, not measured: an optimized crystal structure of TbTlBiTe3 at the PBE level of DFT.

Summary:
* space-group type: Cmcm, No. 63

Cell lengths 8.075, 8.075, 12.549 Å; angles 90.00, 90.00, 149.33 degrees
Fractional coordinates of all 12 atoms:
Tb (0.000, 0.000, 0.500)
Te (0.041, 0.959, 0.750)
Te (0.359, 0.641, 0.992)
Te (0.959, 0.041, 0.250)
Bi (0.612, 0.388, 0.250)
Tl (0.291, 0.709, 0.250)
Te (0.641, 0.359, 0.008)
Tl (0.709, 0.291, 0.750)
Te (0.359, 0.641, 0.508)
Tb (0.000, 0.000, 0.000)
Bi (0.388, 0.612, 0.750)
Te (0.641, 0.359, 0.492)



No. 5
Computed, not measured: an optimized crystal structure of Pr2Sc4As at the PBE level of DFT.

Summary:
* space-group type: I4/mmm, No. 139

Cell lengths 7.442, 7.442, 7.442 Å; angles 96.81, 96.81, 139.72 degrees
Last column: magnetic moment on the atom in μB.
Fractional coordinates of all 7 atoms:
Pr (0.750, 0.250, 0.500)  0.04
Sc (0.500, 0.701, 0.201)  0.53
Sc (0.701, 0.500, 0.201)  0.52
Pr (0.250, 0.750, 0.500)  0.04
Sc (0.500, 0.299, 0.799)  0.53
Sc (0.299, 0.500, 0.799)  0.52
As (0.000, 0.000, 0.000)  -0.01



No. 6
Computed, not measured: an optimized crystal structure of ZrCoSiOs at the PBE level of DFT.

Summary:
* space-group type: F-43m, No. 216

Cell lengths 4.415, 4.415, 4.415 Å; angles 60.00, 60.00, 60.00 degrees
Last column: magnetic moment on the atom in μB.
Fractional coordinates of all 4 atoms:
Si (0.000, 0.000, 0.000)  0.01
Zr (0.250, 0.250, 0.250)  0.06
Os (0.500, 0.500, 0.500)  0.75
Co (0.750, 0.750, 0.750)  1.74



No. 7
Computed, not measured: an optimized crystal structure of ErNbAsO at the PBE level of DFT.

Summary:
* space-group type: Pmc2_1, No. 26

Cell lengths 4.173, 4.991, 6.579 Å; angles 90.00, 90.00, 90.00 degrees
Fractional coordinates of all 8 atoms:
O (0.500, 0.613, 0.428)
As (0.000, 0.870, 0.791)
Nb (0.000, 0.624, 0.438)
Er (0.500, 0.805, 0.098)
Nb (0.000, 0.376, 0.938)
As (0.000, 0.130, 0.291)
O (0.500, 0.387, 0.928)
Er (0.500, 0.195, 0.598)



No. 8
Computed, not measured: an optimized crystal structure of Na2AsAu at the PBE level of DFT.

Summary:
* space-group type: Amm2, No. 38

Cell lengths 5.772, 5.634, 5.634 Å; angles 102.46, 90.00, 90.00 degrees
Fractional coordinates of all 8 atoms:
Au (0.251, 0.001, 0.001)
As (0.000, 0.706, 0.706)
As (0.500, 0.295, 0.295)
Na (0.500, 0.832, 0.470)
Na (0.000, 0.167, 0.529)
Na (0.500, 0.470, 0.832)
Au (0.749, 0.001, 0.001)
Na (0.000, 0.529, 0.167)



No. 9
Computed, not measured: an optimized crystal structure of Ta3Co3Bi2 at the PBE level of DFT.

Summary:
* space-group type: P-4m2, No. 115

Cell lengths 3.627, 3.627, 12.975 Å; angles 90.00, 90.00, 90.00 degrees
Last column: magnetic moment on the atom in μB.
Fractional coordinates of all 8 atoms:
Bi (0.500, 0.000, 0.313)  0.00
Co (0.000, 0.000, 0.164)  1.75
Co (0.000, 0.000, 0.000)  0.70
Ta (0.000, 0.000, 0.500)  0.06
Bi (0.000, 0.500, 0.687)  -0.02
Ta (0.500, 0.500, 0.000)  -0.34
Ta (0.500, 0.500, 0.500)  0.01
Co (0.000, 0.000, 0.836)  1.64



No. 10
Computed, not measured: an optimized crystal structure of Nd2TlZn2In at the PBE level of DFT.

Summary:
* space-group type: P3m1, No. 156

Cell lengths 4.757, 4.757, 7.632 Å; angles 90.00, 90.00, 120.00 degrees
Fractional coordinates of all 6 atoms:
In (0.000, 0.000, 0.967)
Nd (0.333, 0.667, 0.742)
Zn (0.000, 0.000, 0.546)
Zn (0.667, 0.333, 0.037)
Tl (0.667, 0.333, 0.465)
Nd (0.333, 0.667, 0.242)



No. 11
Computed, not measured: an optimized crystal structure of NiSn2Pt at the PBE level of DFT.

Summary:
* space-group type: F-43m, No. 216

Cell lengths 4.731, 4.731, 4.731 Å; angles 60.00, 60.00, 60.00 degrees
Fractional coordinates of all 4 atoms:
Sn (0.750, 0.750, 0.750)
Sn (0.500, 0.500, 0.500)
Pt (0.250, 0.250, 0.250)
Ni (0.000, 0.000, 0.000)



No. 12
Computed, not measured: an optimized crystal structure of HoSn2 at the PBE level of DFT.

Summary:
* space-group type: Fd-3m, No. 227

Cell lengths 6.137, 6.137, 6.137 Å; angles 60.00, 60.00, 60.00 degrees
Fractional coordinates of all 6 atoms:
Sn (0.625, 0.625, 0.625)
Ho (0.250, 0.250, 0.250)
Sn (0.125, 0.625, 0.625)
Sn (0.625, 0.125, 0.625)
Sn (0.625, 0.625, 0.125)
Ho (0.000, 0.000, 0.000)



No. 13
Computed, not measured: an optimized crystal structure of AcPrTe at the PBE level of DFT.

Summary:
* space-group type: F-43m, No. 216

Cell lengths 5.431, 5.431, 5.431 Å; angles 60.00, 60.00, 60.00 degrees
Last column: magnetic moment on the atom in μB.
Fractional coordinates of all 3 atoms:
Pr (0.250, 0.250, 0.250)  0.20
Te (0.500, 0.500, 0.500)  0.00
Ac (0.750, 0.750, 0.750)  0.11



No. 14
Computed, not measured: an optimized crystal structure of ThZrSb at the PBE level of DFT.

Summary:
* space-group type: F-43m, No. 216

Cell lengths 5.056, 5.056, 5.056 Å; angles 60.00, 60.00, 60.00 degrees
Fractional coordinates of all 3 atoms:
Zr (0.750, 0.750, 0.750)
Sb (0.000, 0.000, 0.000)
Th (0.250, 0.250, 0.250)



No. 15
Computed, not measured: an optimized crystal structure of BaCu4Ge3 at the PBE level of DFT.

Summary:
* space-group type: P4/mmm, No. 123

Cell lengths 4.325, 4.325, 7.938 Å; angles 90.00, 90.00, 90.00 degrees
Fractional coordinates of all 8 atoms:
Cu (0.500, 0.000, 0.335)
Cu (0.000, 0.500, 0.665)
Cu (0.500, 0.000, 0.665)
Ge (0.500, 0.500, 0.176)
Ba (0.000, 0.000, 0.000)
Ge (0.000, 0.000, 0.500)
Cu (0.000, 0.500, 0.335)
Ge (0.500, 0.500, 0.824)



No. 16
Computed, not measured: an optimized crystal structure of ZnGa3Ni3 at the PBE level of DFT.

Summary:
* space-group type: Ia-3d, No. 230

Cell lengths 9.917, 9.917, 9.917 Å; angles 109.47, 109.47, 109.47 degrees
Fractional coordinates of all 56 atoms:
Ga (0.250, 0.261, 0.011)
Zn (0.500, 0.500, 0.500)
Ni (0.008, 0.492, 0.250)
Ni (0.516, 0.508, 0.258)
Ga (0.750, 0.239, 0.489)
Ga (0.989, 0.750, 0.739)
Ni (0.492, 0.742, 0.484)
Ga (0.511, 0.761, 0.750)
Zn (0.000, 0.500, 0.500)
Ni (0.250, 0.008, 0.492)
Zn (0.500, 0.500, 0.000)
Ni (0.758, 0.008, 0.016)
Ni (0.742, 0.484, 0.492)
Ni (0.242, 0.750, 0.258)
Ni (0.992, 0.984, 0.242)
Ga (0.489, 0.239, 0.250)
Ni (0.250, 0.742, 0.758)
Ga (0.011, 0.261, 0.750)
Ga (0.750, 0.511, 0.761)
Ga (0.489, 0.750, 0.239)
Ni (0.508, 0.750, 0.992)
Ni (0.484, 0.492, 0.742)
Ga (0.511, 0.250, 0.761)
Zn (0.000, 0.000, 0.500)
Ga (0.250, 0.489, 0.239)
Ni (0.508, 0.258, 0.516)
Ga (0.239, 0.250, 0.489)
Ga (0.239, 0.489, 0.750)
Ga (0.250, 0.761, 0.511)
Ga (0.750, 0.739, 0.989)
Ni (0.242, 0.992, 0.984)
Ni (0.008, 0.016, 0.758)
Ni (0.750, 0.258, 0.242)
Ga (0.989, 0.739, 0.250)
Zn (0.500, 0.000, 0.500)
Ga (0.011, 0.250, 0.261)
Ga (0.750, 0.011, 0.261)
Ga (0.261, 0.750, 0.011)
Ni (0.984, 0.242, 0.992)
Zn (0.000, 0.000, 0.000)
Ga (0.261, 0.011, 0.250)
Ga (0.761, 0.511, 0.250)
Ni (0.492, 0.250, 0.008)
Ga (0.739, 0.989, 0.750)
Ga (0.250, 0.989, 0.739)
Ga (0.761, 0.750, 0.511)
Ni (0.742, 0.758, 0.250)
Ga (0.739, 0.250, 0.989)
Zn (0.000, 0.500, 0.000)
Ni (0.992, 0.508, 0.750)
Ni (0.258, 0.516, 0.508)
Ni (0.750, 0.992, 0.508)
Ni (0.258, 0.242, 0.750)
Ni (0.016, 0.758, 0.008)
Zn (0.500, 0.000, 0.000)
Ni (0.758, 0.250, 0.742)



No. 17
Computed, not measured: an optimized crystal structure of LiHoMg2Au4 at the PBE level of DFT.

Summary:
* space-group type: P4/mmm, No. 123

Cell lengths 4.763, 4.763, 6.689 Å; angles 90.00, 90.00, 90.00 degrees
Fractional coordinates of all 8 atoms:
Li (0.500, 0.500, 0.000)
Mg (0.500, 0.500, 0.500)
Au (0.500, 0.000, 0.232)
Au (0.500, 0.000, 0.768)
Au (0.000, 0.500, 0.768)
Au (0.000, 0.500, 0.232)
Mg (0.000, 0.000, 0.000)
Ho (0.000, 0.000, 0.500)



No. 18
Computed, not measured: an optimized crystal structure of Mo15Se19 at the PBE level of DFT.

Summary:
* space-group type: R-3c, No. 167

Cell lengths 20.515, 20.515, 20.515 Å; angles 26.95, 26.95, 26.95 degrees
Fractional coordinates of all 68 atoms:
Se (0.082, 0.817, 0.456)
Se (0.554, 0.554, 0.554)
Se (0.677, 0.677, 0.677)
Mo (0.088, 0.250, 0.412)
Se (0.444, 0.815, 0.193)
Se (0.564, 0.250, 0.936)
Mo (0.134, 0.459, 0.275)
Se (0.323, 0.323, 0.323)
Se (0.944, 0.693, 0.315)
Mo (0.997, 0.871, 0.192)
Se (0.936, 0.564, 0.250)
Se (0.956, 0.317, 0.582)
Se (0.315, 0.944, 0.693)
Mo (0.866, 0.541, 0.725)
Se (0.582, 0.956, 0.317)
Mo (0.275, 0.134, 0.459)
Mo (0.459, 0.275, 0.134)
Se (0.193, 0.444, 0.815)
Mo (0.775, 0.959, 0.634)
Mo (0.192, 0.997, 0.871)
Se (0.064, 0.436, 0.750)
Se (0.317, 0.582, 0.956)
Se (0.446, 0.446, 0.446)
Se (0.693, 0.315, 0.944)
Mo (0.308, 0.629, 0.503)
Mo (0.129, 0.808, 0.003)
Se (0.307, 0.685, 0.056)
Se (0.807, 0.556, 0.185)
Se (0.185, 0.807, 0.556)
Se (0.056, 0.307, 0.685)
Mo (0.912, 0.750, 0.588)
Se (0.183, 0.544, 0.918)
Se (0.250, 0.936, 0.564)
Mo (0.750, 0.588, 0.912)
Mo (0.541, 0.725, 0.866)
Se (0.815, 0.193, 0.444)
Mo (0.503, 0.308, 0.629)
Mo (0.366, 0.225, 0.041)
Se (0.918, 0.183, 0.544)
Mo (0.497, 0.692, 0.371)
Se (0.054, 0.054, 0.054)
Mo (0.959, 0.634, 0.775)
Mo (0.412, 0.088, 0.250)
Mo (0.871, 0.192, 0.997)
Mo (0.588, 0.912, 0.750)
Mo (0.003, 0.129, 0.808)
Mo (0.041, 0.366, 0.225)
Se (0.683, 0.418, 0.044)
Se (0.823, 0.823, 0.823)
Mo (0.629, 0.503, 0.308)
Se (0.556, 0.185, 0.807)
Se (0.817, 0.456, 0.082)
Se (0.436, 0.750, 0.064)
Se (0.177, 0.177, 0.177)
Mo (0.725, 0.866, 0.541)
Mo (0.634, 0.775, 0.959)
Se (0.685, 0.056, 0.307)
Se (0.946, 0.946, 0.946)
Mo (0.371, 0.497, 0.692)
Se (0.544, 0.918, 0.183)
Se (0.750, 0.064, 0.436)
Se (0.418, 0.044, 0.683)
Mo (0.250, 0.412, 0.088)
Mo (0.225, 0.041, 0.366)
Mo (0.692, 0.371, 0.497)
Se (0.456, 0.082, 0.817)
Se (0.044, 0.683, 0.418)
Mo (0.808, 0.003, 0.129)



No. 19
Computed, not measured: an optimized crystal structure of RbPmO3 at the PBE level of DFT.

Summary:
* space-group type: R-3, No. 148

Cell lengths 6.622, 6.622, 6.548 Å; angles 59.63, 59.63, 60.00 degrees
Fractional coordinates of all 10 atoms:
Rb (0.380, 0.380, 0.861)
Rb (0.620, 0.620, 0.139)
Pm (0.148, 0.148, 0.555)
O (0.840, 0.994, 0.711)
O (0.456, 0.840, 0.711)
O (0.160, 0.006, 0.289)
O (0.994, 0.456, 0.711)
O (0.006, 0.544, 0.289)
O (0.544, 0.160, 0.289)
Pm (0.852, 0.852, 0.445)



No. 20
Computed, not measured: an optimized crystal structure of Sr2HfSn at the PBE level of DFT.

Summary:
* space-group type: F-43m, No. 216

Cell lengths 5.547, 5.547, 5.547 Å; angles 60.00, 60.00, 60.00 degrees
Last column: magnetic moment on the atom in μB.
Fractional coordinates of all 4 atoms:
Sr (0.250, 0.250, 0.250)  0.05
Sr (0.000, 0.000, 0.000)  0.07
Hf (0.500, 0.500, 0.500)  0.55
Sn (0.750, 0.750, 0.750)  -0.01



It is found that the calculated total energy values, taken in the order of the records, are -9.78, -4.53, -4.30, -4.01, -4.38, -7.99, -7.71, -3.13, -7.15, -3.29, -4.76, -4.39, -4.63, -6.82, -3.96, -4.25, -3.50, -7.23, -5.88, -4.07 eV/atom.
It is found that the density values, taken in the order of the records, are 10.80, 12.90, 6.91, 7.60, 3.56, 10.05, 8.51, 5.90, 11.07, 8.20, 10.89, 8.17, 7.26, 8.09, 6.81, 7.98, 11.04, 6.24, 4.58, 6.50 g/cm3.